Material: Ac4Mg5Cu2
Method: DFT, GGA-PBE
State: relaxed

Lattice parameters (Å, degrees): 4.029 8.230 10.216 93.78 90.00 90.00
Atoms (fractional coordinates):
Ac1 0.500 0.765 0.553
Ac2 0.500 0.161 0.858
Ac3 0.500 0.235 0.447
Ac4 0.500 0.839 0.142
Mg1 0.000 0.554 0.306
Mg2 0.000 0.195 0.157
Mg3 0.000 0.500 0.000
Mg4 0.000 0.805 0.843
Mg5 0.000 0.446 0.694
Cu1 0.000 0.056 0.629
Cu2 0.000 0.944 0.371

- final energy (eV/atom) = -3.007
- formation energy from the elements (meV per atom) = -43